i) Computed, not measured: an optimized crystal structure of RuPtAu2 at the PBE-GGA level of DFT.

Computed properties:
- density of states at the Fermi level (states/eV/cell) = 4.17
- space group = Cm
- V (A^3/atom) = 16.47

Unit cell a=4.886 b=4.886 c=5.084 alpha=98.74 beta=98.74 gamma=33.34
Positions (direct):
Ru 0.000 0.000 0.000
Pt 0.739 0.739 0.203
Au 0.251 0.251 0.724
Au 0.494 0.494 0.483

=====

ii) Computed, not measured: an optimized crystal structure of RuPtAu2 at the PBE-GGA level of DFT.

Computed properties:
- density of states at the Fermi level (states/eV/cell) = 3.16
- space group = F-43m
- V (A^3/atom) = 16.83

Unit cell a=4.566 b=4.566 c=4.566 alpha=60.00 beta=60.00 gamma=60.00
Positions (direct):
Ru 0.000 0.000 0.000
Pt 0.750 0.750 0.750
Au 0.250 0.250 0.250
Au 0.500 0.500 0.500

=====

Best to worst by energy: i), ii).

=====

i) Computed, not measured: an optimized crystal structure of RuPtAu2 at the PBE-GGA level of DFT.

Computed properties:
- density of states at the Fermi level (states/eV/cell) = 8.53
- space group = I-42d
- V (A^3/atom) = 18.43

Unit cell a=5.878 b=5.878 c=5.878 alpha=102.28 beta=102.28 gamma=125.08
Positions (direct):
Ru 0.000 0.000 0.000
Ru 0.750 0.250 0.500
Pt 0.250 0.750 0.500
Pt 0.500 0.500 0.000
Au 0.122 0.625 0.997
Au 0.375 0.372 0.497
Au 0.628 0.125 0.003
Au 0.875 0.878 0.503

=====

ii) Computed, not measured: an optimized crystal structure of RuPtAu2 at the PBE-GGA level of DFT.

Computed properties:
- density of states at the Fermi level (states/eV/cell) = 1.85
- space group = Fm-3m
- V (A^3/atom) = 16.73

Unit cell a=4.557 b=4.557 c=4.557 alpha=60.00 beta=60.00 gamma=60.00
Positions (direct):
Ru 0.000 0.000 0.000
Pt 0.500 0.500 0.500
Au 0.250 0.250 0.250
Au 0.750 0.750 0.750

=====

iii) Computed, not measured: an optimized crystal structure of RuPtAu2 at the PBE-GGA level of DFT.

Computed properties:
- density of states at the Fermi level (states/eV/cell) = 3.62
- space group = I4/mmm
- V (A^3/atom) = 16.56

Unit cell a=4.979 b=4.979 c=4.979 alpha=132.29 beta=132.29 gamma=69.78
Positions (direct):
Ru 0.000 0.000 0.000
Pt 0.500 0.500 0.000
Au 0.250 0.750 0.500
Au 0.750 0.250 0.500

=====

Best to worst by energy: iii), ii), i).